Entry from the Alexandria database: an optimized crystal structure of HfCdIn2 (PBE-GGA).

- Total energy: -4.054 eV/atom
- Magnetic moment: 0.00 μB/cell
- Space-group type: P4/mmm (123)

a b c (Å): 3.158 3.158 9.318
angles (deg): 90.00 90.00 90.00
Element x y z (fractional)
In 0.000 0.000 0.736
In 0.000 0.000 0.264
Hf 0.500 0.500 0.500
Cd 0.500 0.500 0.000

---

Entry from the Alexandria database: an optimized crystal structure of Hf4CdIn3 (PBE-GGA).

- Excess energy over the best structure of this formula in the dataset: 0.000 eV/atom
- Total energy: -6.189 eV/atom
- Magnetic moment: 0.00 μB/cell
- Space-group type: Pmna (53)

a b c (Å): 6.358 6.276 8.788
angles (deg): 90.00 90.00 90.00
Element x y z (fractional)
Hf 0.815 0.500 0.500
Hf 0.064 0.244 0.250
Hf 0.314 0.000 0.000
Hf 0.564 0.756 0.750
Hf 0.064 0.244 0.750
Hf 0.564 0.756 0.250
Hf 0.315 0.500 0.000
Hf 0.814 0.000 0.500
In 0.564 0.256 0.250
In 0.064 0.744 0.250
In 0.064 0.744 0.750
In 0.814 0.000 0.000
In 0.564 0.256 0.750
In 0.314 0.000 0.500
Cd 0.815 0.500 0.000
Cd 0.315 0.500 0.500

---

Entry from the Alexandria database: an optimized crystal structure of Hf2CdIn (PBE-GGA).

- Excess energy over the best structure of this formula in the dataset: 0.118 eV/atom
- Total energy: -5.847 eV/atom
- Magnetic moment: 0.00 μB/cell
- Space-group type: Fm-3m (225)

a b c (Å): 4.955 4.955 4.955
angles (deg): 60.00 60.00 60.00
Element x y z (fractional)
Cd 0.000 0.000 0.000
In 0.500 0.500 0.500
Hf 0.750 0.750 0.750
Hf 0.250 0.250 0.250

---

Entry from the Alexandria database: an optimized crystal structure of Hf3CdIn2 (PBE-GGA).

- Total energy: -6.138 eV/atom
- Magnetic moment: 0.00 μB/cell
- Space-group type: P4/mmm (123)

a b c (Å): 3.112 3.112 13.293
angles (deg): 90.00 90.00 90.00
Element x y z (fractional)
Hf 0.000 0.000 0.665
Hf 0.000 0.000 0.000
Hf 0.000 0.000 0.335
Cd 0.500 0.500 0.500
In 0.500 0.500 0.832
In 0.500 0.500 0.168

---

Entry from the Alexandria database: an optimized crystal structure of Hf4CdIn3 (PBE-GGA).

- Excess energy over the best structure of this formula in the dataset: 0.070 eV/atom
- Total energy: -6.119 eV/atom
- Magnetic moment: 0.00 μB/cell
- Space-group type: C2/m (12)

a b c (Å): 5.328 5.328 7.193
angles (deg): 111.60 111.74 90.00
Element x y z (fractional)
In 0.252 0.752 0.505
In 0.748 0.248 0.495
In 0.000 0.500 0.000
Hf 0.125 0.125 0.251
Hf 0.375 0.374 0.749
Hf 0.625 0.626 0.251
Hf 0.875 0.875 0.749
Cd 0.500 0.000 0.000

---

Entry from the Alexandria database: an optimized crystal structure of HfCdIn (PBE-GGA).

- Total energy: -4.531 eV/atom
- Magnetic moment: 0.00 μB/cell
- Space-group type: P3m1 (156)

a b c (Å): 3.209 4.841 4.841
angles (deg): 120.00 90.00 90.00
Element x y z (fractional)
In 0.165 0.000 0.000
Cd 0.169 0.667 0.333
Hf 0.666 0.333 0.667

---

Entry from the Alexandria database: an optimized crystal structure of HfCdIn3 (PBE-GGA).

- Excess energy over the best structure of this formula in the dataset: 0.240 eV/atom
- Total energy: -2.935 eV/atom
- Magnetic moment: 0.00 μB/cell
- Space-group type: Pm-3m (221)

a b c (Å): 5.322 5.322 5.322
angles (deg): 90.00 90.00 90.00
Element x y z (fractional)
In 0.000 0.000 0.500
In 0.500 0.000 0.000
In 0.000 0.500 0.000
Hf 0.500 0.500 0.500
Cd 0.000 0.000 0.000

---

Entry from the Alexandria database: an optimized crystal structure of Hf2Cd2In (PBE-GGA).

- Total energy: -4.971 eV/atom
- Magnetic moment: 0.00 μB/cell
- Space-group type: I4/mmm (139)

a b c (Å): 3.146 3.146 11.027
angles (deg): 98.20 98.20 90.00
Element x y z (fractional)
In 0.000 0.000 0.000
Hf 0.601 0.601 0.201
Hf 0.399 0.399 0.799
Cd 0.799 0.799 0.599
Cd 0.201 0.201 0.401

---

Entry from the Alexandria database: an optimized crystal structure of Hf2Cd2In (PBE-GGA).

- Total energy: -4.740 eV/atom
- Magnetic moment: 0.00 μB/cell
- Space-group type: P4/mbm (127)

a b c (Å): 8.077 8.077 3.396
angles (deg): 90.00 90.00 90.00
Element x y z (fractional)
Cd 0.623 0.123 0.000
Cd 0.877 0.623 0.000
Cd 0.123 0.377 0.000
Cd 0.377 0.877 0.000
Hf 0.824 0.324 0.500
Hf 0.176 0.676 0.500
Hf 0.676 0.824 0.500
Hf 0.324 0.176 0.500
In 0.000 0.000 0.000
In 0.500 0.500 0.000

---

Entry from the Alexandria database: an optimized crystal structure of Hf2CdIn2 (PBE-GGA).

- Excess energy over the best structure of this formula in the dataset: 0.042 eV/atom
- Total energy: -5.142 eV/atom
- Magnetic moment: 0.00 μB/cell
- Space-group type: P4/mbm (127)

a b c (Å): 8.523 8.523 3.292
angles (deg): 90.00 90.00 90.00
Element x y z (fractional)
Hf 0.376 0.876 0.000
Hf 0.876 0.624 0.000
Hf 0.124 0.376 0.000
Hf 0.624 0.124 0.000
In 0.676 0.824 0.500
In 0.824 0.324 0.500
In 0.176 0.676 0.500
In 0.324 0.176 0.500
Cd 0.500 0.500 0.000
Cd 0.000 0.000 0.000

---

Entry from the Alexandria database: an optimized crystal structure of Hf2Cd2In (PBE-GGA).

- Total energy: -4.625 eV/atom
- Magnetic moment: 0.00 μB/cell
- Space-group type: P4/mbm (127)

a b c (Å): 7.981 7.981 3.676
angles (deg): 90.00 90.00 90.00
Element x y z (fractional)
Cd 0.349 0.151 0.500
Cd 0.151 0.651 0.500
Cd 0.849 0.349 0.500
Cd 0.651 0.849 0.500
Hf 0.352 0.852 0.000
Hf 0.852 0.648 0.000
Hf 0.148 0.352 0.000
Hf 0.648 0.148 0.000
In 0.500 0.500 0.000
In 0.000 0.000 0.000

---

Entry from the Alexandria database: an optimized crystal structure of HfCdIn2 (PBE-GGA).

- Total energy: -3.847 eV/atom
- Magnetic moment: 0.00 μB/cell
- Space-group type: R3m (160)

a b c (Å): 4.567 4.567 6.284
angles (deg): 68.69 68.69 60.00
Element x y z (fractional)
In 0.255 0.255 0.235
In 0.077 0.077 0.770
Cd 0.492 0.492 0.523
Hf 0.676 0.676 0.972

---

Entry from the Alexandria database: an optimized crystal structure of HfCd3In (PBE-GGA).

- Excess energy over the best structure of this formula in the dataset: 0.122 eV/atom
- Total energy: -2.134 eV/atom
- Magnetic moment: 0.00 μB/cell
- Space-group type: Pm-3m (221)

a b c (Å): 5.263 5.263 5.263
angles (deg): 90.00 90.00 90.00
Element x y z (fractional)
Cd 0.500 0.000 0.000
Cd 0.000 0.500 0.000
Cd 0.000 0.000 0.500
In 0.000 0.000 0.000
Hf 0.500 0.500 0.500

---

Entry from the Alexandria database: an optimized crystal structure of Hf15CdIn4 (PBE-GGA).

- Total energy: -8.176 eV/atom
- Magnetic moment: 0.00 μB/cell
- Space-group type: P4/mmm (123)

a b c (Å): 4.425 4.425 22.135
angles (deg): 90.00 90.00 90.00
Element x y z (fractional)
Hf 0.000 0.500 0.500
Hf 0.500 0.500 0.000
Hf 0.500 0.000 0.300
Hf 0.500 0.500 0.600
Hf 0.500 0.500 0.200
Hf 0.500 0.000 0.700
Hf 0.000 0.500 0.100
Hf 0.000 0.500 0.700
Hf 0.500 0.500 0.800
Hf 0.500 0.000 0.500
Hf 0.000 0.500 0.900
Hf 0.500 0.000 0.100
Hf 0.500 0.500 0.400
Hf 0.000 0.500 0.300
Hf 0.500 0.000 0.900
In 0.000 0.000 0.600
In 0.000 0.000 0.199
In 0.000 0.000 0.400
In 0.000 0.000 0.801
Cd 0.000 0.000 0.000

---

Entry from the Alexandria database: an optimized crystal structure of Hf4CdIn (PBE-GGA).

- Excess energy over the best structure of this formula in the dataset: 0.000 eV/atom
- Total energy: -7.370 eV/atom
- Magnetic moment: 0.00 μB/cell
- Space-group type: Cmmm (65)

a b c (Å): 4.308 4.387 7.322
angles (deg): 90.00 107.11 90.00
Element x y z (fractional)
Hf 0.671 0.000 0.343
Hf 0.329 0.000 0.657
Hf 0.829 0.500 0.657
Hf 0.171 0.500 0.343
Cd 0.500 0.500 0.000
In 0.000 0.000 0.000

---

Entry from the Alexandria database: an optimized crystal structure of HfCdIn2 (PBE-GGA).

- Total energy: -3.814 eV/atom
- Magnetic moment: 0.00 μB/cell
- Space-group type: R-3m (166)

a b c (Å): 3.254 3.254 11.117
angles (deg): 81.59 81.59 60.00
Element x y z (fractional)
In 0.089 0.089 0.732
In 0.911 0.911 0.268
Hf 0.000 0.000 0.000
Cd 0.500 0.500 0.500

---

Entry from the Alexandria database: an optimized crystal structure of Hf2CdIn4 (PBE-GGA).

- Total energy: -4.500 eV/atom
- Magnetic moment: 0.00 μB/cell
- Space-group type: C2/m (12)

a b c (Å): 3.286 7.288 8.060
angles (deg): 115.52 101.76 90.00
Element x y z (fractional)
Hf 0.778 0.864 0.556
Hf 0.222 0.136 0.444
In 0.354 0.608 0.709
In 0.646 0.392 0.291
In 0.086 0.695 0.171
In 0.914 0.305 0.829
Cd 0.000 0.000 0.000

---

Entry from the Alexandria database: an optimized crystal structure of HfCdIn3 (PBE-GGA).

- Excess energy over the best structure of this formula in the dataset: 0.000 eV/atom
- Total energy: -3.175 eV/atom
- Magnetic moment: 0.00 μB/cell
- Space-group type: Pm-3m (221)

a b c (Å): 5.646 5.646 5.646
angles (deg): 90.00 90.00 90.00
Element x y z (fractional)
Hf 0.000 0.000 0.000
Cd 0.500 0.500 0.500
In 0.000 0.500 0.000
In 0.500 0.000 0.000
In 0.000 0.000 0.500

---

Entry from the Alexandria database: an optimized crystal structure of Hf2CdIn (PBE-GGA).

- Excess energy over the best structure of this formula in the dataset: 0.427 eV/atom
- Total energy: -5.538 eV/atom
- Magnetic moment: 0.00 μB/cell
- Space-group type: I-42d (122)

a b c (Å): 7.969 7.969 6.352
angles (deg): 51.15 51.15 90.00
Element x y z (fractional)
In 0.750 0.250 0.500
In 0.000 0.000 0.000
Cd 0.500 0.500 0.000
Cd 0.250 0.750 0.500
Hf 0.622 0.125 0.250
Hf 0.375 0.378 0.750
Hf 0.875 0.872 0.750
Hf 0.128 0.625 0.250

---

Entry from the Alexandria database: an optimized crystal structure of KHf2CdIn (PBE-GGA).

- Total energy: -3.808 eV/atom
- Magnetic moment: 0.00 μB/cell
- Space-group type: P4/mmm (123)

a b c (Å): 5.483 5.464 5.483
angles (deg): 90.00 90.00 90.00
Element x y z (fractional)
Cd 0.000 0.500 0.000
In 0.000 0.000 0.000
Hf 0.000 0.000 0.500
Hf 0.500 0.000 0.000
K 0.500 0.500 0.500

---

| no. | DOS(E_F) (states/eV/atom) |
| --- | --- |
| 1 | 0.89 |
| 2 | 0.94 |
| 3 | 1.11 |
| 4 | 0.88 |
| 5 | 0.65 |
| 6 | 0.57 |
| 7 | 0.91 |
| 8 | 0.72 |
| 9 | 0.24 |
| 10 | 0.66 |
| 11 | 0.62 |
| 12 | 0.50 |
| 13 | 0.67 |
| 14 | 0.70 |
| 15 | 0.73 |
| 16 | 0.74 |
| 17 | 0.52 |
| 18 | 1.08 |
| 19 | 0.79 |
| 20 | 0.64 |